1.
CaTl2AuCl: optimized geometry, GGA-PBE.

Unit cell a=4.238 b=3.672 c=10.337 alpha=90.00 beta=101.22 gamma=90.00
Fractional coordinates of all 5 atoms:
1 Tl 0.957 0.000 0.976
2 Tl 0.367 0.500 0.787
3 Au 0.549 0.000 0.169
4 Ca 0.114 0.500 0.307
5 Cl 0.204 0.000 0.499

Summary:
The calculation puts the uncorrected formation energy at -0.729 eV/atom. The calculation puts the uncorrected energy at -3.10 eV/atom.

---

2.
CaTl2AuCl: optimized geometry, GGA-PBE.

Unit cell a=4.121 b=4.151 c=11.030 alpha=97.49 beta=92.23 gamma=123.90
Fractional coordinates of all 5 atoms:
1 Tl 0.501 0.837 0.223
2 Tl 0.125 0.018 0.006
3 Au 0.746 0.236 0.842
4 Ca 0.995 0.799 0.664
5 Cl 0.256 0.392 0.526

Summary:
The calculation puts the uncorrected formation energy at -0.773 eV/atom. The calculation puts the uncorrected energy at -3.15 eV/atom.

---

> Which of these has the lowest uncorrected energy?

number 2

---

> Which of these has the lowest uncorrected formation energy?

number 2